VASP calculation (GGA-PBE) on a relaxed K2Hg2Cl7 crystal.

Theoretical density (g cm⁻³): 2.98
Uncorrected formation energy (meV per atom): -961
Space group: C2/m
Crystal system: monoclinic
Final energy (eV per atom): -2.391
Size of the total moment (μB per cell): 0.72
N(E_F) (states/eV/f.u.): 4.24

a b c (Å): 6.8244 8.2223 8.2223
angles (deg): 116.73 95.11 95.11
Positions (direct):
Cl  0.2345  0.5944  0.9323
Cl  0.2354  0.4344  0.4344
Cl  0.7646  0.5656  0.5656
Cl  0.7655  0.0677  0.4056
Cl  0.2345  0.9323  0.5944
Cl  0.0000  0.0000  0.0000
Cl  0.7655  0.4056  0.0677
K  0.5000  0.6907  0.3093
K  0.5000  0.3093  0.6907
Hg  0.1509  0.7340  0.7340
Hg  0.8491  0.2660  0.2660